1.
Material: La2Ge3Pd5
Method: DFT, PBE
State: relaxed

Summary:
**Energy of formation**: -0.662 eV per atom
**Excess energy over the best structure of this formula in the dataset**: 103 meV per atom
**Magnetization**: 0.000 μB/atom
**Crystal system**: tetragonal

abc: 4.217 4.217 11.312
angles: 90.00 90.00 90.00
Space group P-4m2 (No. 115)
One atom of each set of equivalent atoms:
1 La 0.000 0.500 0.223 x2
2 Ge 0.000 0.500 0.634 x2
3 Ge 0.500 0.500 0.500 x1
4 Pd 0.000 0.000 0.000 x1
5 Pd 0.000 0.000 0.500 x1
6 Pd 0.000 0.500 0.847 x2
7 Pd 0.500 0.500 0.000 x1

=====

2.
Material: CaCrPt2
Method: DFT, PBE
State: relaxed

Summary:
**Energy of formation**: -0.266 eV per atom
**Excess energy over the best structure of this formula in the dataset**: 149 meV per atom
**Magnetization**: 1.029 μB/atom
**Crystal system**: tetragonal

abc: 4.048 4.048 8.739
angles: 90.00 90.00 90.00
Space group I-4m2 (No. 119)
One atom of each set of equivalent atoms:
1 Ca 0.000 0.000 0.000 x2
2 Cr 0.000 0.500 0.750 x2
3 Pt 0.000 0.000 0.500 x2
4 Pt 0.000 0.500 0.250 x2

=====

3.
Material: YTa2S6
Method: DFT, PBE
State: relaxed

Summary:
**Magnetization**: 0.000 μB/atom
**Formation energy (no corrections)**: -107.87 kJ per mole of atoms
**Crystal system**: monoclinic

abc: 11.649 4.821 8.400
angles: 90.00 117.31 90.00
Space group C2/m (No. 12)
One atom of each set of equivalent atoms:
1 Y 0.000 0.000 0.000 x2
2 Ta 0.190 0.000 0.580 x4
3 S 0.019 0.000 0.690 x4
4 S 0.150 0.500 0.113 x4
5 S 0.191 0.500 0.598 x4

=====

4.
Material: Sm6Ni2AgI3
Method: DFT, PBE
State: relaxed

Summary:
**Magnetization**: 0.000 μB/atom
**Formation energy (no corrections)**: -59.12 kJ per mole of atoms
**Crystal system**: monoclinic

abc: 7.276 12.590 8.290
angles: 90.00 107.09 90.00
Space group C2/m (No. 12)
One atom of each set of equivalent atoms:
1 Sm 0.199 0.000 0.185 x4
2 Sm 0.244 0.319 0.187 x8
3 Ni 0.000 0.167 0.000 x4
4 Ag 0.000 0.500 0.000 x2
5 I 0.000 0.000 0.500 x2
6 I 0.000 0.337 0.500 x4

=====

5.
Material: DySi2Ni3
Method: DFT, PBE
State: relaxed

Summary:
**Magnetization**: 0.000 μB/atom
**Formation energy (no corrections)**: -74.30 kJ per mole of atoms
**Crystal system**: monoclinic

abc: 15.287 3.775 9.278
angles: 90.00 107.74 90.00
Space group C2/m (No. 12)
One atom of each set of equivalent atoms:
1 Dy 0.000 0.000 0.000 x2
2 Dy 0.155 0.000 0.698 x4
3 Si 0.031 0.500 0.773 x4
4 Si 0.139 0.500 0.451 x4
5 Si 0.200 0.000 0.131 x4
6 Ni 0.000 0.500 0.500 x2
7 Ni 0.047 0.000 0.341 x4
8 Ni 0.126 0.500 0.203 x4
9 Ni 0.177 0.500 0.968 x4
10 Ni 0.216 0.000 0.393 x4

=====

6.
Material: BeZn2Hg2
Method: DFT, PBE
State: relaxed

Summary:
**Energy of formation**: 0.357 eV per atom
**Excess energy over the best structure of this formula in the dataset**: 0 meV per atom
**Magnetization**: 0.000 μB/atom
**Crystal system**: tetragonal

abc: 6.512 6.512 4.376
angles: 90.00 90.00 90.00
Space group P4/mbm (No. 127)
One atom of each set of equivalent atoms:
1 Be 0.000 0.000 0.000 x2
2 Zn 0.154 0.346 0.000 x4
3 Hg 0.166 0.666 0.500 x4

=====

7.
Material: Na4Mg3H10
Method: DFT, PBE
State: relaxed

Summary:
**Magnetization**: 0.000 μB/atom
**E_tot**: -94.22 eV for the cell shown
**Crystal system**: tetragonal

abc: 3.814 3.814 27.251
angles: 90.00 90.00 90.00
Space group I4/mmm (No. 139)
One atom of each set of equivalent atoms:
1 Na 0.000 0.000 0.070 x4
2 Na 0.000 0.000 0.205 x4
3 Mg 0.000 0.000 0.358 x4
4 Mg 0.000 0.000 0.500 x2
5 H 0.000 0.000 0.287 x4
6 H 0.000 0.000 0.429 x4
7 H 0.000 0.500 0.000 x4
8 H 0.000 0.500 0.140 x8

=====

8.
Material: NdDy6Y2Ho3
Method: DFT, PBE
State: relaxed

Summary:
**Energy of formation**: 0.018 eV per atom
**Magnetization**: 0.000 μB/atom
**Crystal system**: monoclinic

abc: 6.156 10.652 11.786
angles: 90.00 99.96 90.00
Space group C2/m (No. 12)
One atom of each set of equivalent atoms:
1 Nd 0.000 0.000 0.000 x2
2 Dy 0.249 0.000 0.748 x4
3 Dy 0.249 0.333 0.747 x8
4 Y 0.000 0.333 0.000 x4
5 Ho 0.000 0.167 0.500 x4
6 Ho 0.000 0.500 0.500 x2

=====

9.
Material: La2InBr
Method: DFT, PBE
State: relaxed

Summary:
**Excess energy over the best structure of this formula in the dataset**: 0 meV per atom
**Magnetization**: 0.000 μB/atom
**Formation energy (no corrections)**: -85.19 kJ per mole of atoms
**Crystal system**: orthorhombic

abc: 5.070 6.374 3.969
angles: 90.00 90.00 90.00
Space group Pmm2 (No. 25)
One atom of each set of equivalent atoms:
1 La 0.000 0.000 0.000 x1
2 La 0.500 0.500 0.497 x1
3 In 0.500 0.000 0.501 x1
4 Br 0.000 0.500 0.998 x1

=====

10.
Material: Sr2Y2Cd15
Method: DFT, PBE
State: relaxed

Summary:
**Energy of formation**: -0.178 eV per atom
**Magnetization**: 0.006 μB/atom
**Crystal system**: trigonal

abc: 10.2085 10.2085 16.3206
angles: 90.00 90.00 120.00
Space group R-3m (No. 166, hexagonal axes)
One atom of each set of equivalent atoms:
1 Sr 0.0000 0.0000 0.1645 x6
2 Y 0.0000 0.0000 0.4027 x6
3 Cd 0.0000 0.2930 0.5000 x18
4 Cd 0.0000 0.5000 0.0000 x9
5 Cd 0.0062 0.5031 0.6393 x18

=====

magnetization of number 4 (Sm6Ni2AgI3)?
0.000 μB/atom

=====

Look up the magnetization of the third one.
0.000 μB/atom